Compound: AlTe2Cl
Source: Alexandria
Functional: PBE
Structure: optimized geometry

Cell lengths 7.1910, 7.1910, 7.3914 Å; angles 60.89, 60.89, 90.00 degrees
Closest atoms and distances in Å follow each position.
Positions (direct):
Te1 0.3750 0.4273 0.7500  2 Al 2.66
Te2 0.1773 0.6250 0.2500  2 Al 2.66
Te3 0.8750 0.8227 0.7500  2 Al 2.66
Te4 0.5727 0.1250 0.2500  2 Al 2.66
Cl1 0.7500 0.2500 0.5000  4 Te 3.12
Cl2 0.0000 0.0000 0.0000  4 Te 3.12
Al1 0.2500 0.7500 0.5000  4 Te 2.66
Al2 0.5000 0.5000 0.0000  4 Te 2.66

Formation energy without anion corrections in meV per atom: -34
Energy in eV/cell: -24.0
Symmetry: No. 122
DOS(E_F) in states/eV/cell: 7.24
E above lowest polymorph in meV per atom: 530